(1)
# PmPr2Dy12

Crystalline PmPr2Dy12 at its relaxed geometry (GGA-PBE, Alexandria via LeMat-Bulk).

a b c (Å): 6.683 6.683 24.877
angles (deg): 90.00 90.00 116.10
Atoms (fractional coordinates):
Pm (0.500, 0.000, 0.000)
Pm (0.000, 0.500, 0.000)
Pr (0.500, 0.000, 0.266)
Pr (0.000, 0.500, 0.272)
Pr (0.000, 0.500, 0.734)
Pr (0.500, 0.000, 0.728)
Dy (0.500, 0.500, 0.800)
Dy (0.000, 0.000, 0.800)
Dy (0.751, 0.749, 0.921)
Dy (0.251, 0.751, 0.873)
Dy (0.000, 0.000, 0.328)
Dy (0.249, 0.749, 0.127)
Dy (0.761, 0.261, 0.583)
Dy (0.500, 0.500, 0.328)
Dy (0.249, 0.251, 0.921)
Dy (0.749, 0.751, 0.079)
Dy (0.263, 0.237, 0.561)
Dy (0.739, 0.239, 0.417)
Dy (0.000, 0.000, 0.672)
Dy (0.237, 0.263, 0.439)
Dy (0.251, 0.249, 0.079)
Dy (0.763, 0.737, 0.439)
Dy (0.737, 0.763, 0.561)
Dy (0.000, 0.000, 0.200)
Dy (0.239, 0.739, 0.583)
Dy (0.500, 0.500, 0.672)
Dy (0.749, 0.249, 0.873)
Dy (0.500, 0.500, 0.200)
Dy (0.261, 0.761, 0.417)
Dy (0.751, 0.251, 0.127)

Calculated values
Its energy relative to the elements is 0.16 eV per atom. The calculation puts the calculated volume at 33.3 Å³/atom. The density of states at the Fermi level comes out at 23.83 states/eV/f.u. The electronic total energy comes out at -4.473 eV/atom. The calculation puts the total moment at 0.00 Bohr magnetons per cell.

(2)
# Pm2Pr4Dy3

Crystalline Pm2Pr4Dy3 at its relaxed geometry (GGA-PBE, Alexandria via LeMat-Bulk).

a b c (Å): 3.646 3.646 27.184
angles (deg): 90.00 90.00 120.00
Atoms (fractional coordinates):
Pm (0.667, 0.333, 0.086)
Pm (0.667, 0.333, 0.875)
Pr (0.000, 0.000, 0.546)
Pr (0.667, 0.333, 0.431)
Pr (0.667, 0.333, 0.217)
Pr (0.000, 0.000, 0.762)
Dy (0.000, 0.000, 0.982)
Dy (0.000, 0.000, 0.323)
Dy (0.667, 0.333, 0.654)

Calculated values
Its energy relative to the elements is 0.06 eV per atom. The calculation puts the calculated volume at 34.8 Å³/atom. The density of states at the Fermi level comes out at 16.91 states/eV/f.u. The electronic total energy comes out at -4.657 eV/atom. The offset from the most stable computed form is 0.35 eV/f.u. The calculation puts the total moment at 0.00 Bohr magnetons per cell.

(3)
# Pm3Pr2Dy7

Crystalline Pm3Pr2Dy7 at its relaxed geometry (GGA-PBE, Alexandria via LeMat-Bulk).

a b c (Å): 3.551 6.391 18.117
angles (deg): 75.70 90.00 90.00
Atoms (fractional coordinates):
Pm (0.500, 0.500, 0.000)
Pm (0.000, 0.113, 0.341)
Pm (0.000, 0.887, 0.659)
Pr (0.500, 0.618, 0.327)
Pr (0.500, 0.382, 0.673)
Dy (0.500, 0.245, 0.500)
Dy (0.500, 0.755, 0.500)
Dy (0.000, 0.564, 0.163)
Dy (0.000, 0.000, 0.000)
Dy (0.000, 0.436, 0.837)
Dy (0.500, 0.938, 0.835)
Dy (0.500, 0.062, 0.165)

Calculated values
Its energy relative to the elements is 0.08 eV per atom. The calculation puts the calculated volume at 33.2 Å³/atom. The density of states at the Fermi level comes out at 17.71 states/eV/f.u. The electronic total energy comes out at -4.586 eV/atom. The offset from the most stable computed form is 0.00 eV/f.u. The calculation puts the total moment at 0.00 Bohr magnetons per cell.

(4)
# Pm12Pr7Dy

Crystalline Pm12Pr7Dy at its relaxed geometry (GGA-PBE, Alexandria via LeMat-Bulk).

a b c (Å): 10.066 10.066 10.066
angles (deg): 109.47 109.47 109.47
Atoms (fractional coordinates):
Pm (0.507, 0.754, 0.754)
Pm (0.000, 0.754, 0.246)
Pm (0.493, 0.246, 0.246)
Pm (0.000, 0.246, 0.754)
Pm (0.754, 0.000, 0.246)
Pm (0.754, 0.507, 0.754)
Pm (0.246, 0.000, 0.754)
Pm (0.246, 0.493, 0.246)
Pm (0.754, 0.754, 0.507)
Pm (0.246, 0.246, 0.493)
Pm (0.754, 0.246, 0.000)
Pm (0.246, 0.754, 0.000)
Pr (0.500, 0.500, 0.000)
Pr (0.000, 0.500, 0.500)
Pr (0.500, 0.000, 0.500)
Pr (0.500, 0.500, 0.500)
Pr (0.000, 0.000, 0.500)
Pr (0.500, 0.000, 0.000)
Pr (0.000, 0.500, 0.000)
Dy (0.000, 0.000, 0.000)

Calculated values
Its energy relative to the elements is 0.59 eV per atom. The calculation puts the calculated volume at 39.3 Å³/atom. The density of states at the Fermi level comes out at 29.84 states/eV/f.u. The electronic total energy comes out at -4.161 eV/atom. The offset from the most stable computed form is 7.53 eV/f.u. The calculation puts the total moment at 0.00 Bohr magnetons per cell.